Record 1
Na2In3Sn5 | PBE-GGA | relaxed

Calculated values
- total moment (μB per formula unit) = 0.000
- E_form (kJ per mole of atoms) = -5.1

a = 11.738 Å, b = 14.988 Å, c = 6.256 Å
α = 90.00°, β = 90.03°, γ = 90.00°
Space group C2/c (No. 15)
Symmetry-distinct sites (fractional):
Na (0.125, 0.250, 0.125)
In (0.000, 0.046, 0.250)
In (0.127, 0.353, 0.624)
Sn (0.000, 0.456, 0.250)
Sn (0.122, 0.143, 0.627)
Sn (0.248, 0.455, 0.999)



Record 2
BeTl3Cd | PBE-GGA | relaxed

Calculated values
- total moment (μB per formula unit) = 0.000
- E_form (kJ per mole of atoms) = 83.1

a = 5.673 Å, b = 5.673 Å, c = 5.673 Å
α = 90.00°, β = 90.00°, γ = 90.00°
Space group Pm-3m (No. 221)
Symmetry-distinct sites (fractional):
Be (0.000, 0.000, 0.000)
Tl (0.000, 0.500, 0.500)
Cd (0.500, 0.500, 0.500)